Record 1
# TaNb2Cl

Crystalline TaNb2Cl at its relaxed geometry (PBE, Alexandria).

a = 4.6782 Å, b = 4.6782 Å, c = 4.6782 Å
α = 60.00°, β = 60.00°, γ = 60.00°
Fractional positions:
1 Nb 0.2500 0.2500 0.2500
2 Nb 0.7500 0.7500 0.7500
3 Cl 0.0000 0.0000 0.0000
4 Ta 0.5000 0.5000 0.5000

Values from the calculation:
Crystal system ... cubic
SG ... Fm-3m
E above lowest polymorph ... 0 meV/atom
E ... -31.0 eV per cell
ΔE_f (raw) ... 67.76 kJ/mol of atoms
Magnetization ... 0.0 μB/cell



Record 2
# Ta2NbCl

Crystalline Ta2NbCl at its relaxed geometry (PBE, Alexandria).

a = 4.6873 Å, b = 4.6873 Å, c = 4.6873 Å
α = 60.00°, β = 60.00°, γ = 60.00°
Fractional positions:
1 Nb 0.5000 0.5000 0.5000
2 Cl 0.0000 0.0000 0.0000
3 Ta 0.2500 0.2500 0.2500
4 Ta 0.7500 0.7500 0.7500

Values from the calculation:
Crystal system ... cubic
SG ... Fm-3m
E above lowest polymorph ... 0 meV/atom
E ... -32.5 eV per cell
ΔE_f (raw) ... 75.05 kJ/mol of atoms
Magnetization ... 0.0 μB/cell



Record 3
# Ta3NbCl9

Crystalline Ta3NbCl9 at its relaxed geometry (PBE, Alexandria).

a = 7.7492 Å, b = 9.3093 Å, c = 11.8726 Å
α = 91.44°, β = 70.95°, γ = 65.40°
Last column: magnetic moment on the atom in μB.
Fractional positions:
1 Ta 0.9992 0.3178 0.7192  -0.10
2 Ta 0.9638 0.8178 0.2192  -0.10
3 Ta 0.9239 0.0747 0.8056  0.00
4 Ta 0.1958 0.5747 0.3056  0.00
5 Ta 0.6761 0.2974 0.7236  0.03
6 Ta 0.3029 0.7974 0.2236  0.03
7 Nb 0.0573 0.6375 0.9970  0.89
8 Nb 0.3082 0.1375 0.4970  0.89
9 Cl 0.3634 0.2538 0.3119  0.00
10 Cl 0.0708 0.7538 0.8119  0.00
11 Cl 0.4036 0.3925 0.9252  0.00
12 Cl 0.2787 0.8925 0.4252  0.00
13 Cl 0.2813 0.0242 0.6975  0.00
14 Cl 0.9970 0.5242 0.1975  0.00
15 Cl 0.6773 0.8271 0.1011  0.01
16 Cl 0.3945 0.3271 0.6011  0.01
17 Cl 0.6846 0.9255 0.4226  0.00
18 Cl 0.9672 0.4255 0.9226  0.00
19 Cl 0.6768 0.5664 0.7519  0.00
20 Cl 0.0049 0.0664 0.2519  0.00
21 Cl 0.5454 0.5126 0.1882  0.00
22 Cl 0.7537 0.0127 0.6882  0.00
23 Cl 0.9325 0.2868 0.5228  0.00
24 Cl 0.2579 0.7868 0.0228  0.00
25 Cl 0.7900 0.1411 0.0113  0.00
26 Cl 0.0575 0.6411 0.5113  0.00

Values from the calculation:
Crystal system ... monoclinic
SG ... Cc
E ... -147.7 eV per cell
ΔE_f (raw) ... -86.24 kJ/mol of atoms
Magnetization ... 2.0 μB/cell